# 1
Density functional theory data (GGA-PBE) for a relaxed HgMoPt2 crystal.

Results
Crystal system: tetragonal
Total energy in eV/atom: -5.66
Size of the total moment in μB per cell: 0.00
ΔH_f (0 K) in eV/atom: 0.147
ΔE to the lowest computed polymorph in meV/atom: 336

Unit cell a=3.286 b=3.286 c=6.395 alpha=90.00 beta=90.00 gamma=90.00
Space group P4mm (No. 99)
Unique sites:
Hg (0.000, 0.000, 0.000) x1
Mo (0.500, 0.500, 0.295) x1
Pt (0.000, 0.000, 0.494) x1
Pt (0.500, 0.500, 0.735) x1

# 2
Density functional theory data (GGA-PBE) for a relaxed HgMoPt2 crystal.

Results
Crystal system: tetragonal
Total energy in eV/atom: -5.64
Size of the total moment in μB per cell: 0.88
ΔH_f (0 K) in eV/atom: 0.160
ΔE to the lowest computed polymorph in meV/atom: 350

Unit cell a=4.119 b=4.119 c=7.895 alpha=90.00 beta=90.00 gamma=90.00
Space group I-4m2 (No. 119)
Unique sites:
Hg (0.000, 0.000, 0.000) x2
Mo (0.000, 0.500, 0.750) x2
Pt (0.000, 0.000, 0.500) x2
Pt (0.000, 0.500, 0.250) x2

# 3
Density functional theory data (GGA-PBE) for a relaxed HgMoPt2 crystal.

Results
Crystal system: cubic
Total energy in eV/atom: -5.57
Size of the total moment in μB per cell: 0.01
ΔH_f (0 K) in eV/atom: 0.237
ΔE to the lowest computed polymorph in meV/atom: 426

Unit cell a=6.490 b=6.490 c=6.490 alpha=90.00 beta=90.00 gamma=90.00
Space group Fm-3m (No. 225)
Unique sites:
Hg (0.000, 0.000, 0.000) x4
Mo (0.000, 0.000, 0.500) x4
Pt (0.250, 0.250, 0.250) x8

# 4
Density functional theory data (GGA-PBE) for a relaxed HgMoPt3 crystal.

Results
Crystal system: cubic
Total energy in eV/atom: -4.05
Size of the total moment in μB per cell: 4.06
ΔH_f (0 K) in eV/atom: 1.804
ΔE to the lowest computed polymorph in meV/atom: 743

Unit cell a=4.965 b=4.965 c=4.965 alpha=90.00 beta=90.00 gamma=90.00
Space group Pm-3m (No. 221)
Unique sites:
Hg (0.000, 0.000, 0.000) x1
Mo (0.500, 0.500, 0.500) x1
Pt (0.000, 0.000, 0.500) x3

# 5
Density functional theory data (GGA-PBE) for a relaxed HgMoPt2 crystal.

Results
Crystal system: tetragonal
Total energy in eV/atom: -5.64
Size of the total moment in μB per cell: 0.00
ΔH_f (0 K) in eV/atom: 0.164
ΔE to the lowest computed polymorph in meV/atom: 353

Unit cell a=4.938 b=4.938 c=2.810 alpha=90.00 beta=90.00 gamma=90.00
Space group P4/mmm (No. 123)
Unique sites:
Hg (0.000, 0.000, 0.000) x1
Mo (0.500, 0.500, 0.000) x1
Pt (0.000, 0.500, 0.500) x2

# 6
Density functional theory data (GGA-PBE) for a relaxed Hg4MoPt crystal.

Results
Crystal system: cubic
Total energy in eV/atom: -2.21
Size of the total moment in μB per cell: 15.70
ΔH_f (0 K) in eV/atom: 0.804

Unit cell a=7.990 b=7.990 c=7.990 alpha=90.00 beta=90.00 gamma=90.00
Space group F-43m (No. 216)
Unique sites:
Hg (0.125, 0.125, 0.125) x16
Mo (0.250, 0.250, 0.750) x4
Pt (0.000, 0.000, 0.500) x4

# 7
Density functional theory data (GGA-PBE) for a relaxed HgMoPt2 crystal.

Results
Crystal system: tetragonal
Total energy in eV/atom: -5.74
Size of the total moment in μB per cell: 0.00
ΔH_f (0 K) in eV/atom: 0.063
ΔE to the lowest computed polymorph in meV/atom: 252

Unit cell a=2.855 b=2.855 c=8.257 alpha=90.00 beta=90.00 gamma=90.00
Space group P4mm (No. 99)
Unique sites:
Hg (0.000, 0.000, 0.000) x1
Mo (0.500, 0.500, 0.271) x1
Pt (0.000, 0.000, 0.490) x1
Pt (0.500, 0.500, 0.739) x1

# 8
Density functional theory data (GGA-PBE) for a relaxed HgMoPt2 crystal.

Results
Crystal system: orthorhombic
Total energy in eV/atom: -5.48
Size of the total moment in μB per cell: 0.00
ΔH_f (0 K) in eV/atom: 0.329
ΔE to the lowest computed polymorph in meV/atom: 518

Unit cell a=2.830 b=4.871 c=4.953 alpha=90.00 beta=90.00 gamma=90.00
Space group Pmmm (No. 47)
Unique sites:
Hg (0.000, 0.000, 0.000) x1
Mo (0.500, 0.000, 0.500) x1
Pt (0.000, 0.500, 0.500) x1
Pt (0.500, 0.500, 0.000) x1